1.
First-principles (PBEsol) data for an optimized crystal structure of GeAs3I, as listed in Alexandria.

Summary:
Raw formation energy ... 3.77 eV/f.u.
M_tot ... 0.00 μB/f.u.
E_tot ... -3.652 eV/atom

```
GeAs3I
1.0
4.947 0.000 0.000
0.000 4.947 0.000
0.000 0.000 4.947
Ge As I
1 3 1
direct
0.000 0.000 0.000 Ge
0.000 0.000 0.500 As
0.000 0.500 0.000 As
0.500 0.000 0.000 As
0.500 0.500 0.500 I
```


2.
First-principles (PBEsol) data for an optimized crystal structure of LaGeAs2I, as listed in Alexandria.

Summary:
Raw formation energy ... 2.75 eV/f.u.
M_tot ... 0.00 μB/f.u.
E_tot ... -3.904 eV/atom

```
LaGeAs2I
1.0
5.500 0.000 0.000
0.000 5.500 0.000
0.000 0.000 6.039
La Ge As I
1 1 2 1
direct
0.000 0.000 0.000 La
0.500 0.500 0.500 Ge
0.000 0.500 0.000 As
0.500 0.000 0.000 As
0.000 0.000 0.500 I
```


3.
First-principles (PBEsol) data for an optimized crystal structure of GeSbAsI2, as listed in Alexandria.

Summary:
Raw formation energy ... 3.49 eV/f.u.
M_tot ... 0.77 μB/f.u.
E_tot ... -2.929 eV/atom

```
GeSbAsI2
1.0
5.376 0.000 0.000
0.000 5.376 0.000
0.000 0.000 5.550
Ge Sb As I
1 1 1 2
direct
0.000 0.000 0.000 Ge
0.000 0.000 0.500 Sb
0.500 0.500 0.500 As
0.000 0.500 0.000 I
0.500 0.000 0.000 I
```


4.
First-principles (PBEsol) data for an optimized crystal structure of GeTe2AsI, as listed in Alexandria.

Summary:
Raw formation energy ... 2.74 eV/f.u.
M_tot ... 0.00 μB/f.u.
E_tot ... -3.225 eV/atom

```
GeTe2AsI
1.0
5.352 0.000 0.000
0.000 5.352 0.000
0.000 0.000 5.477
Ge Te As I
1 2 1 1
direct
0.000 0.000 0.000 Ge
0.000 0.500 0.500 Te
0.500 0.000 0.500 Te
0.500 0.500 0.500 As
0.500 0.500 0.000 I
```


5.
First-principles (PBEsol) data for an optimized crystal structure of GeAs3Ir, as listed in Alexandria.

Summary:
M_tot ... 0.00 μB/f.u.
ΔE_f ... 0.73 eV/atom
E_tot ... -5.290 eV/atom

```
GeAs3Ir
1.0
4.798 0.000 0.000
0.000 4.798 0.000
0.000 0.000 4.798
Ge As Ir
1 3 1
direct
0.000 0.000 0.000 Ge
0.000 0.500 0.500 As
0.500 0.000 0.500 As
0.500 0.500 0.000 As
0.500 0.500 0.500 Ir
```


6.
First-principles (PBEsol) data for an optimized crystal structure of K2GeAs2, as listed in Alexandria.

Summary:
M_tot ... 0.00 μB/f.u.
ΔE_f ... -0.38 eV/atom
E_tot ... -3.867 eV/atom

```
K2GeAs2
1.0
-3.477 6.650 3.275
3.477 -6.650 3.275
3.477 6.650 -3.275
K Ge As
4 2 4
direct
0.142 0.166 0.308 K
0.358 0.666 0.024 K
0.642 0.334 0.976 K
0.858 0.834 0.692 K
0.250 0.750 0.500 Ge
0.750 0.250 0.500 Ge
0.105 0.672 0.777 As
0.395 0.172 0.567 As
0.605 0.828 0.433 As
0.895 0.328 0.223 As
```


7.
First-principles (PBEsol) data for an optimized crystal structure of K3GeAs, as listed in Alexandria.

Summary:
M_tot ... 3.41 μB/f.u.
ΔE_f ... 0.35 eV/atom
E_tot ... -2.341 eV/atom

```
K3GeAs
1.0
6.221 0.000 0.000
0.000 6.221 0.000
0.000 0.000 6.221
K Ge As
3 1 1
direct
0.000 0.000 0.500 K
0.000 0.500 0.000 K
0.500 0.000 0.000 K
0.500 0.500 0.500 Ge
0.000 0.000 0.000 As
```


8.
First-principles (PBEsol) data for an optimized crystal structure of KGeAs3, as listed in Alexandria.

Summary:
M_tot ... 0.00 μB/f.u.
ΔE_f ... 1.67 eV/atom
E_tot ... -2.612 eV/atom

```
KGeAs3
1.0
5.206 0.000 0.000
0.000 5.206 0.000
0.000 0.000 5.206
K Ge As
1 1 3
direct
0.000 0.000 0.000 K
0.500 0.500 0.500 Ge
0.000 0.000 0.500 As
0.000 0.500 0.000 As
0.500 0.000 0.000 As
```


9.
First-principles (PBEsol) data for an optimized crystal structure of KNa4GeAs3, as listed in Alexandria.

Summary:
M_tot ... 0.00 μB/f.u.
ΔE_f ... -0.39 eV/atom
E_tot ... -3.389 eV/atom

```
KNa4GeAs3
1.0
15.071 0.000 0.000
0.000 4.724 0.000
0.000 0.000 13.071
K Na Ge As
4 16 4 12
direct
0.017 0.250 0.128 K
0.483 0.750 0.628 K
0.517 0.250 0.372 K
0.983 0.750 0.872 K
0.063 0.250 0.428 Na
0.080 0.250 0.690 Na
0.213 0.750 0.059 Na
0.243 0.750 0.763 Na
0.257 0.250 0.263 Na
0.287 0.250 0.559 Na
0.420 0.750 0.190 Na
0.437 0.750 0.928 Na
0.563 0.250 0.072 Na
0.580 0.250 0.810 Na
0.713 0.750 0.441 Na
0.743 0.750 0.737 Na
0.757 0.250 0.237 Na
0.787 0.250 0.941 Na
0.920 0.750 0.310 Na
0.937 0.750 0.572 Na
0.206 0.750 0.415 Ge
0.294 0.250 0.915 Ge
0.706 0.750 0.085 Ge
0.794 0.250 0.585 Ge
0.117 0.750 0.267 As
0.134 0.750 0.575 As
0.139 0.250 0.908 As
0.361 0.750 0.408 As
0.366 0.250 0.075 As
0.383 0.250 0.767 As
0.617 0.750 0.233 As
0.634 0.750 0.925 As
0.639 0.250 0.592 As
0.861 0.750 0.092 As
0.866 0.250 0.425 As
0.883 0.250 0.733 As
```


10.
First-principles (PBEsol) data for an optimized crystal structure of KRbGe2As, as listed in Alexandria.

Summary:
M_tot ... 0.00 μB/f.u.
ΔE_f ... 1.36 eV/atom
E_tot ... -2.069 eV/atom

```
KRbGe2As
1.0
5.595 0.000 0.000
0.000 5.595 0.000
0.000 0.000 5.614
K Rb Ge As
1 1 2 1
direct
0.000 0.000 0.000 K
0.000 0.000 0.500 Rb
0.000 0.500 0.500 Ge
0.500 0.000 0.500 Ge
0.500 0.500 0.000 As
```


11.
First-principles (PBEsol) data for an optimized crystal structure of K2GeSbAs, as listed in Alexandria.

Summary:
Raw formation energy ... 2.21 eV/f.u.
M_tot ... 2.07 μB/f.u.
E_tot ... -2.931 eV/atom

```
K2GeSbAs
1.0
6.387 0.000 0.000
0.000 6.387 0.000
0.000 0.000 5.008
K Ge Sb As
2 1 1 1
direct
0.000 0.500 0.000 K
0.500 0.000 0.000 K
0.000 0.000 0.000 Ge
0.000 0.000 0.500 Sb
0.500 0.500 0.500 As
```


12.
First-principles (PBEsol) data for an optimized crystal structure of KGeAsSe2, as listed in Alexandria.

Summary:
Raw formation energy ... -0.09 eV/f.u.
M_tot ... 0.00 μB/f.u.
E_tot ... -3.795 eV/atom

```
KGeAsSe2
1.0
5.174 0.000 0.000
0.000 5.174 0.000
0.000 0.000 4.864
K Ge As Se
1 1 1 2
direct
0.000 0.000 0.000 K
0.500 0.500 0.500 Ge
0.500 0.500 0.000 As
0.000 0.500 0.500 Se
0.500 0.000 0.500 Se
```


13.
First-principles (PBEsol) data for an optimized crystal structure of MgTc2GeAs, as listed in Alexandria.

Summary:
M_tot ... 3.03 μB/f.u.
ΔE_f ... 1.85 eV/atom
E_tot ... -5.006 eV/atom

```
MgTc2GeAs
1.0
4.639 0.000 0.000
0.000 4.639 0.000
0.000 0.000 4.435
Mg Tc Ge As
1 2 1 1
direct
0.000 0.000 0.000 Mg
0.000 0.500 0.000 Tc
0.500 0.000 0.000 Tc
0.000 0.000 0.500 Ge
0.500 0.500 0.500 As
```


14.
First-principles (PBEsol) data for an optimized crystal structure of Mn2NbGeAs, as listed in Alexandria.

Summary:
M_tot ... 5.26 μB/f.u.
ΔE_f ... 1.29 eV/atom
E_tot ... -6.791 eV/atom

```
Mn2NbGeAs
1.0
4.605 0.000 0.000
0.000 4.605 0.000
0.000 0.000 4.910
Mn Nb Ge As
2 1 1 1
direct
0.000 0.500 0.000 Mn
0.500 0.000 0.000 Mn
0.000 0.000 0.000 Nb
0.000 0.000 0.500 Ge
0.500 0.500 0.500 As
```


15.
First-principles (PBEsol) data for an optimized crystal structure of TiMn2GeAs, as listed in Alexandria.

Summary:
M_tot ... 4.73 μB/f.u.
ΔE_f ... 0.78 eV/atom
E_tot ... -6.797 eV/atom

```
TiMn2GeAs
1.0
4.367 0.000 0.000
0.000 4.367 0.000
0.000 0.000 4.957
Ti Mn Ge As
1 2 1 1
direct
0.000 0.000 0.000 Ti
0.000 0.500 0.500 Mn
0.500 0.000 0.500 Mn
0.500 0.500 0.000 Ge
0.500 0.500 0.500 As
```


16.
First-principles (PBEsol) data for an optimized crystal structure of GeMo2As, as listed in Alexandria.

Summary:
M_tot ... 0.00 μB/f.u.
ΔE_f ... -0.02 eV/atom
E_tot ... -8.414 eV/atom

```
GeMo2As
1.0
0.000 3.091 3.091
3.091 0.000 3.091
3.091 3.091 0.000
Ge Mo As
1 2 1
direct
0.000 0.000 0.000 Ge
0.250 0.250 0.250 Mo
0.750 0.750 0.750 Mo
0.500 0.500 0.500 As
```


17.
First-principles (PBEsol) data for an optimized crystal structure of GeMo3As, as listed in Alexandria.

Summary:
M_tot ... 0.00 μB/f.u.
ΔE_f ... 1.24 eV/atom
E_tot ... -7.831 eV/atom

```
GeMo3As
1.0
4.546 0.000 0.000
0.000 4.546 0.000
0.000 0.000 4.546
Ge Mo As
1 3 1
direct
0.000 0.000 0.000 Ge
0.000 0.500 0.500 Mo
0.500 0.000 0.500 Mo
0.500 0.500 0.000 Mo
0.500 0.500 0.500 As
```


18.
First-principles (PBEsol) data for an optimized crystal structure of GeMoAs, as listed in Alexandria.

Summary:
M_tot ... 0.00 μB/f.u.
ΔE_f ... -0.23 eV/atom
E_tot ... -7.501 eV/atom

```
GeMoAs
1.0
4.601 -1.621 0.000
4.601 1.621 0.000
-3.770 0.000 6.633
Ge Mo As
2 2 2
direct
0.104 0.104 0.396 Ge
0.896 0.896 0.604 Ge
0.346 0.346 0.299 Mo
0.654 0.654 0.701 Mo
0.355 0.355 0.964 As
0.645 0.645 0.036 As
```


19.
First-principles (PBEsol) data for an optimized crystal structure of GeMoAs2Se, as listed in Alexandria.

Summary:
Raw formation energy ... 2.76 eV/f.u.
M_tot ... 0.03 μB/f.u.
E_tot ... -5.602 eV/atom

```
GeMoAs2Se
1.0
4.838 0.000 0.000
0.000 4.838 0.000
0.000 0.000 4.843
Ge Mo As Se
1 1 2 1
direct
0.000 0.000 0.000 Ge
0.500 0.500 0.500 Mo
0.000 0.500 0.500 As
0.500 0.000 0.500 As
0.500 0.500 0.000 Se
```


20.
First-principles (PBEsol) data for an optimized crystal structure of GeMoAsSe2, as listed in Alexandria.

Summary:
Raw formation energy ... 2.29 eV/f.u.
M_tot ... 0.18 μB/f.u.
E_tot ... -5.445 eV/atom

```
GeMoAsSe2
1.0
4.842 0.000 0.000
0.000 4.842 0.000
0.000 0.000 4.877
Ge Mo As Se
1 1 1 2
direct
0.000 0.000 0.000 Ge
0.500 0.500 0.500 Mo
0.500 0.500 0.000 As
0.000 0.500 0.500 Se
0.500 0.000 0.500 Se
```